Entry 1:
Entry from Alexandria via LeMat-Bulk: a relaxed structure of Ce2IrPd (PBE-GGA).

Geometry as CIF:
```
data_Ce2IrPd
_chemical_formula_sum 'Ce4 Ir2 Pd2'
_cell_length_a 5.9595
_cell_length_b 4.2173
_cell_length_c 7.7374
_cell_angle_alpha 90.00
_cell_angle_beta 109.44
_cell_angle_gamma 90.00
_space_group_name_H-M_alt 'P 1'
_space_group_IT_number 1
loop_
_space_group_symop_operation_xyz
'x,y,z'
loop_
_atom_site_label
_atom_site_fract_x
_atom_site_fract_y
_atom_site_fract_z
Ce1 0.2229 0.2500 0.4401
Ce2 0.2300 0.2500 0.9248
Ce3 0.7700 0.7500 0.0752
Ce4 0.7771 0.7500 0.5599
Ir1 0.3041 0.7500 0.7040
Ir2 0.6959 0.2500 0.2960
Pd1 0.3154 0.7500 0.2046
Pd2 0.6846 0.2500 0.7954
```

Calculated values
electronic total energy	-7.238	eV/atom
formation enthalpy at 0 K	-0.7577	eV/atom
calculated volume	91.7	Å³/f.u.



Entry 2:
Entry from Alexandria via LeMat-Bulk: a relaxed structure of Sc2Os (PBE-GGA).

Geometry as CIF:
```
data_Sc2Os
_chemical_formula_sum 'Sc4 Os2'
_cell_length_a 12.7692
_cell_length_b 12.7692
_cell_length_c 12.7692
_cell_angle_alpha 165.67
_cell_angle_beta 165.67
_cell_angle_gamma 20.32
_space_group_name_H-M_alt 'P 1'
_space_group_IT_number 1
loop_
_space_group_symop_operation_xyz
'x,y,z'
loop_
_atom_site_label
_atom_site_fract_x
_atom_site_fract_y
_atom_site_fract_z
Sc1 0.3130 0.5630 0.7500
Sc2 0.4370 0.6870 0.7500
Sc3 0.5630 0.3130 0.2500
Sc4 0.6870 0.4370 0.2500
Os1 0.1250 0.8750 0.2500
Os2 0.8750 0.1250 0.7500
```

Calculated values
electronic total energy	-8.294	eV/atom
formation enthalpy at 0 K	-0.3296	eV/atom
calculated volume	63.7	Å³/f.u.



Entry 3:
Entry from Alexandria via LeMat-Bulk: a relaxed structure of ScNb2Hg2 (PBE-GGA).

Geometry as CIF:
```
data_ScNb2Hg2
_chemical_formula_sum 'Sc1 Nb2 Hg2'
_cell_length_a 6.9493
_cell_length_b 6.9493
_cell_length_c 6.9493
_cell_angle_alpha 144.23
_cell_angle_beta 144.23
_cell_angle_gamma 51.48
_space_group_name_H-M_alt 'P 1'
_space_group_IT_number 1
loop_
_space_group_symop_operation_xyz
'x,y,z'
loop_
_atom_site_label
_atom_site_fract_x
_atom_site_fract_y
_atom_site_fract_z
Sc1 0.0000 0.0000 0.0000
Nb1 0.4093 0.4093 0.0000
Nb2 0.5907 0.5907 0.0000
Hg1 0.2500 0.7500 0.5000
Hg2 0.7500 0.2500 0.5000
```

Calculated values
electronic total energy	-4.978	eV/atom
energy relative to the lowest polymorph listed for this composition	148	meV/atom
formation enthalpy at 0 K	0.4370	eV/atom
calculated volume	114.0	Å³/f.u.



Entry 4:
Entry from Alexandria via LeMat-Bulk: a relaxed structure of LaScCCl (PBE-GGA).

Geometry as CIF:
```
data_LaScCCl
_chemical_formula_sum 'La2 Sc2 C2 Cl2'
_cell_length_a 14.2761
_cell_length_b 14.2761
_cell_length_c 14.2761
_cell_angle_alpha 15.57
_cell_angle_beta 15.57
_cell_angle_gamma 15.57
_space_group_name_H-M_alt 'P 1'
_space_group_IT_number 1
loop_
_space_group_symop_operation_xyz
'x,y,z'
loop_
_atom_site_label
_atom_site_fract_x
_atom_site_fract_y
_atom_site_fract_z
La1 0.0799 0.0799 0.0799
La2 0.9201 0.9201 0.9201
Sc1 0.3107 0.3107 0.3107
Sc2 0.6893 0.6893 0.6893
C1 0.3729 0.3729 0.3729
C2 0.6271 0.6271 0.6271
Cl1 0.2093 0.2093 0.2093
Cl2 0.7907 0.7907 0.7907
```

Calculated values
electronic total energy	-6.538	eV/atom
calculated volume	91.3	Å³/f.u.



Spin magnetization readings, ordered: 0.86; 0.00; 0.00; 0.00 μB per formula unit